No. 1
Below is a relaxed structure of Er4GaSiSe2, with properties calculated at the PBE-GGA level.

a b c (Å): 5.757 5.757 7.075
angles (deg): 114.01 114.01 90.00
Fractional positions:
Er  0.997  0.497  0.994
Er  0.503  0.003  0.006
Er  0.752  0.752  0.504
Er  0.248  0.248  0.496
Ga  0.500  0.500  0.000
Si  0.750  0.250  0.500
Se  0.250  0.750  0.500
Se  0.000  0.000  0.000

Output
- Formation energy without anion corrections: -1190 meV/atom
- Fermi-level density of states: 0.60 states/eV per atom


No. 2
Below is a relaxed structure of Er8Ga3SiSe4, with properties calculated at the PBE-GGA level.

a b c (Å): 7.889 8.459 7.886
angles (deg): 117.76 120.02 90.00
Fractional positions:
Er  0.249  0.749  0.000
Er  0.249  0.749  0.497
Er  0.249  0.246  0.497
Er  0.752  0.749  0.000
Er  0.248  0.251  0.000
Er  0.751  0.754  0.503
Er  0.751  0.251  0.503
Er  0.751  0.251  0.000
Ga  0.500  0.500  0.000
Ga  0.500  0.500  0.500
Ga  0.000  0.500  0.500
Si  0.000  0.500  0.000
Se  0.500  0.000  0.000
Se  0.500  0.000  0.500
Se  0.000  0.000  0.000
Se  0.000  0.000  0.500

Output
- Formation energy without anion corrections: -1163 meV/atom
- Fermi-level density of states: 0.35 states/eV per atom


No. 3
Below is a relaxed structure of Er8GaSi3Se4, with properties calculated at the PBE-GGA level.

a b c (Å): 8.073 8.265 8.075
angles (deg): 119.25 119.99 90.00
Fractional positions:
Er  0.249  0.742  0.992
Er  0.249  0.741  0.499
Er  0.256  0.267  0.512
Er  0.743  0.742  0.992
Er  0.257  0.258  0.008
Er  0.744  0.733  0.488
Er  0.751  0.259  0.501
Er  0.751  0.258  0.008
Ga  0.000  0.500  0.000
Si  0.500  0.500  0.000
Si  0.500  0.500  0.500
Si  0.000  0.500  0.500
Se  0.500  0.000  0.000
Se  0.500  0.000  0.500
Se  0.000  0.000  0.000
Se  0.000  0.000  0.500

Output
- Formation energy without anion corrections: -1230 meV/atom
- Fermi-level density of states: 0.37 states/eV per atom


No. 4
Below is a relaxed structure of TbErGaSe, with properties calculated at the PBE-GGA level.

a b c (Å): 3.950 3.950 7.647
angles (deg): 75.03 75.03 60.00
Fractional positions:
Tb  0.001  0.001  0.996
Er  0.499  0.499  0.504
Ga  0.249  0.249  0.253
Se  0.751  0.751  0.746

Output
- Formation energy without anion corrections: -1164 meV/atom
- Fermi-level density of states: 0.39 states/eV per atom


No. 5
Below is a relaxed structure of Er6Ga2TeSe3, with properties calculated at the PBE-GGA level.

a b c (Å): 4.000 8.505 9.282
angles (deg): 103.66 102.44 90.00
Fractional positions:
Er  0.328  0.903  0.656
Er  0.667  0.586  0.335
Er  0.672  0.097  0.344
Er  0.008  0.269  0.017
Er  0.992  0.731  0.983
Er  0.333  0.414  0.665
Ga  0.831  0.661  0.662
Ga  0.169  0.339  0.338
Te  0.500  0.000  0.000
Se  0.500  0.500  0.000
Se  0.839  0.163  0.677
Se  0.161  0.837  0.323

Output
- Formation energy without anion corrections: -1262 meV/atom
- Fermi-level density of states: 0.34 states/eV per atom


No. 6
Below is a relaxed structure of Er6GaTe3Se2, with properties calculated at the PBE-GGA level.

a b c (Å): 7.222 7.222 7.410
angles (deg): 99.34 99.34 119.89
Fractional positions:
Er  0.927  0.604  0.781
Er  0.751  0.751  0.221
Er  0.073  0.396  0.219
Er  0.604  0.927  0.781
Er  0.249  0.249  0.779
Er  0.396  0.073  0.219
Ga  0.000  0.000  0.000
Te  0.170  0.830  0.500
Te  0.830  0.170  0.500
Te  0.500  0.500  0.500
Se  0.334  0.666  0.000
Se  0.666  0.334  0.000

Output
- Formation energy without anion corrections: -1346 meV/atom
- Fermi-level density of states: 0.40 states/eV per atom


No. 7
Below is a relaxed structure of Er8GaTe4Se3, with properties calculated at the PBE-GGA level.

a b c (Å): 8.326 8.494 8.326
angles (deg): 119.35 120.00 90.00
Fractional positions:
Er  0.235  0.718  0.983
Er  0.235  0.718  0.470
Er  0.261  0.284  0.522
Er  0.748  0.718  0.983
Er  0.252  0.282  0.017
Er  0.739  0.716  0.478
Er  0.765  0.282  0.530
Er  0.765  0.282  0.017
Ga  0.000  0.500  0.000
Te  0.500  0.000  0.000
Te  0.500  0.000  0.500
Te  0.000  0.000  0.000
Te  0.000  0.000  0.500
Se  0.500  0.500  0.000
Se  0.500  0.500  0.500
Se  0.000  0.500  0.500

Output
- Formation energy without anion corrections: -1375 meV/atom
- Fermi-level density of states: 0.46 states/eV per atom


No. 8
Below is a relaxed structure of Er6TlGa2Se3, with properties calculated at the PBE-GGA level.

a b c (Å): 3.947 8.669 9.549
angles (deg): 110.53 101.93 90.00
Fractional positions:
Er  0.327  0.923  0.655
Er  0.669  0.577  0.338
Er  0.673  0.077  0.345
Er  0.997  0.266  0.994
Er  0.003  0.734  0.006
Er  0.331  0.423  0.662
Tl  0.500  0.000  0.000
Ga  0.838  0.681  0.676
Ga  0.162  0.319  0.324
Se  0.500  0.500  0.000
Se  0.834  0.175  0.667
Se  0.166  0.825  0.333

Output
- Formation energy without anion corrections: -1091 meV/atom
- Fermi-level density of states: 0.34 states/eV per atom


No. 9
Below is a relaxed structure of ErTmGaSe, with properties calculated at the PBE-GGA level.

a b c (Å): 3.908 3.908 7.594
angles (deg): 75.09 75.09 60.00
Fractional positions:
Er  0.499  0.499  0.503
Tm  0.001  0.001  0.997
Ga  0.250  0.250  0.249
Se  0.750  0.750  0.751

Output
- Formation energy without anion corrections: -1139 meV/atom
- Fermi-level density of states: 0.37 states/eV per atom


No. 10
Below is a relaxed structure of Er8ZnGa3Se4, with properties calculated at the PBE-GGA level.

a b c (Å): 7.817 8.571 7.815
angles (deg): 117.11 120.01 90.00
Fractional positions:
Er  0.252  0.755  0.003
Er  0.252  0.755  0.503
Er  0.249  0.247  0.498
Er  0.752  0.755  0.003
Er  0.248  0.245  0.997
Er  0.751  0.753  0.502
Er  0.748  0.245  0.497
Er  0.748  0.245  0.997
Zn  0.000  0.500  0.000
Ga  0.500  0.500  0.000
Ga  0.500  0.500  0.500
Ga  0.000  0.500  0.500
Se  0.500  0.000  0.000
Se  0.500  0.000  0.500
Se  0.000  0.000  0.000
Se  0.000  0.000  0.500

Output
- Formation energy without anion corrections: -1107 meV/atom
- Fermi-level density of states: 0.43 states/eV per atom


No. 11
Below is a relaxed structure of ErGaSi, with properties calculated at the PBE-GGA level.

a b c (Å): 3.830 4.097 8.042
angles (deg): 104.76 90.00 90.00
Fractional positions:
Er  0.750  0.905  0.809
Er  0.250  0.095  0.191
Ga  0.750  0.715  0.431
Ga  0.250  0.285  0.569
Si  0.750  0.550  0.101
Si  0.250  0.450  0.899

Output
- Formation energy without anion corrections: -513 meV/atom
- Fermi-level density of states: 0.53 states/eV per atom


No. 12
Below is a relaxed structure of ErGaSi, with properties calculated at the PBE-GGA level.

a b c (Å): 3.986 4.105 4.105
angles (deg): 120.00 90.00 90.00
Fractional positions:
Si  0.206  0.333  0.667
Ga  0.125  0.000  0.000
Er  0.668  0.667  0.333

Output
- Formation energy without anion corrections: -584 meV/atom
- Fermi-level density of states: 0.31 states/eV per atom


No. 13
Below is a relaxed structure of Er4Ga3Si, with properties calculated at the PBE-GGA level.

a b c (Å): 4.304 3.958 10.679
angles (deg): 90.00 90.00 90.00
Fractional positions:
Si  0.500  0.500  0.077
Ga  0.000  0.500  0.579
Ga  0.000  0.000  0.420
Ga  0.500  0.000  0.925
Er  0.500  0.500  0.357
Er  0.000  0.500  0.863
Er  0.000  0.000  0.139
Er  0.500  0.000  0.640

Output
- Formation energy without anion corrections: -685 meV/atom
- Fermi-level density of states: 0.76 states/eV per atom


No. 14
Below is a relaxed structure of Er3Ga4Si2, with properties calculated at the PBE-GGA level.

a b c (Å): 4.138 5.752 8.187
angles (deg): 101.80 90.00 111.08
Fractional positions:
Er  0.668  0.336  0.663
Er  0.000  0.000  0.000
Er  0.332  0.664  0.337
Ga  0.732  0.463  0.066
Ga  0.268  0.537  0.934
Ga  0.941  0.882  0.609
Ga  0.059  0.118  0.391
Si  0.605  0.211  0.271
Si  0.395  0.789  0.729

Output
- Formation energy without anion corrections: -607 meV/atom
- Fermi-level density of states: 0.35 states/eV per atom


No. 15
Below is a relaxed structure of Er3Ga2Si2, with properties calculated at the PBE-GGA level.

a b c (Å): 4.227 5.651 7.164
angles (deg): 110.17 90.00 111.96
Fractional positions:
Er  0.324  0.649  0.375
Er  0.676  0.351  0.625
Er  0.500  0.000  0.000
Ga  0.811  0.622  0.072
Ga  0.189  0.378  0.928
Si  0.965  0.930  0.653
Si  0.035  0.070  0.347

Output
- Formation energy without anion corrections: -674 meV/atom
- Fermi-level density of states: 0.42 states/eV per atom


No. 16
Below is a relaxed structure of Er3GaSi, with properties calculated at the PBE-GGA level.

a b c (Å): 6.168 8.927 9.281
angles (deg): 105.06 90.00 90.00
Fractional positions:
Er  0.000  0.000  0.250
Er  0.000  0.000  0.750
Er  0.500  0.000  0.250
Er  0.500  0.000  0.750
Er  0.750  0.782  0.446
Er  0.250  0.218  0.554
Er  0.250  0.218  0.054
Er  0.750  0.782  0.946
Er  0.250  0.615  0.654
Er  0.750  0.385  0.346
Er  0.750  0.385  0.846
Er  0.250  0.615  0.154
Ga  0.250  0.857  0.464
Ga  0.750  0.143  0.536
Ga  0.750  0.143  0.036
Ga  0.250  0.857  0.964
Si  0.750  0.612  0.153
Si  0.250  0.388  0.847
Si  0.250  0.388  0.347
Si  0.750  0.612  0.653

Output
- Formation energy without anion corrections: -468 meV/atom
- Fermi-level density of states: 0.47 states/eV per atom


No. 17
Below is a relaxed structure of Er7GaSi5, with properties calculated at the PBE-GGA level.

a b c (Å): 5.727 7.772 7.772
angles (deg): 86.95 68.38 68.38
Fractional positions:
Er  0.635  0.365  0.365
Er  0.248  0.752  0.752
Er  0.994  0.333  0.680
Er  0.994  0.680  0.333
Er  0.283  0.217  0.217
Er  0.542  0.793  0.123
Er  0.542  0.123  0.793
Ga  0.941  0.059  0.059
Si  0.480  0.997  0.479
Si  0.044  0.997  0.479
Si  0.480  0.479  0.997
Si  0.044  0.479  0.997
Si  0.773  0.727  0.727

Output
- Formation energy without anion corrections: -416 meV/atom
- Fermi-level density of states: 0.75 states/eV per atom


No. 18
Below is a relaxed structure of ErGaSi, with properties calculated at the PBE-GGA level.

a b c (Å): 4.203 5.682 5.682
angles (deg): 76.07 68.29 68.29
Fractional positions:
Er  0.500  0.500  0.000
Er  0.000  0.000  0.500
Ga  0.750  0.916  0.084
Ga  0.250  0.084  0.916
Si  0.250  0.423  0.577
Si  0.750  0.577  0.423

Output
- Formation energy without anion corrections: -586 meV/atom
- Fermi-level density of states: 0.25 states/eV per atom


No. 19
Below is a relaxed structure of Er2GaSi2, with properties calculated at the PBE-GGA level.

a b c (Å): 4.043 5.535 5.535
angles (deg): 63.12 68.58 68.58
Fractional positions:
Er  0.786  0.714  0.714
Er  0.214  0.286  0.286
Ga  0.000  0.000  0.000
Si  0.500  0.705  0.295
Si  0.500  0.295  0.705

Output
- Formation energy without anion corrections: -686 meV/atom
- Fermi-level density of states: 0.59 states/eV per atom


No. 20
Below is a relaxed structure of Er2Ga2Si, with properties calculated at the PBE-GGA level.

a b c (Å): 4.140 5.733 9.614
angles (deg): 79.40 77.57 68.84
Fractional positions:
Er  0.313  0.262  0.112
Er  0.486  0.350  0.679
Er  0.687  0.738  0.888
Er  0.514  0.650  0.321
Ga  0.962  0.181  0.895
Ga  0.152  0.255  0.442
Ga  0.038  0.819  0.105
Ga  0.848  0.745  0.558
Si  0.802  0.075  0.321
Si  0.198  0.925  0.679

Output
- Formation energy without anion corrections: -610 meV/atom
- Fermi-level density of states: 0.65 states/eV per atom


No. 21
Below is a relaxed structure of ErGaSi4, with properties calculated at the PBE-GGA level.

a b c (Å): 5.216 5.216 5.216
angles (deg): 60.00 60.00 60.00
Fractional positions:
Si  0.626  0.626  0.123
Si  0.626  0.123  0.626
Si  0.626  0.626  0.626
Si  0.123  0.626  0.626
Ga  0.000  0.000  0.000
Er  0.250  0.250  0.250

Output
- Formation energy without anion corrections: -127 meV/atom
- Fermi-level density of states: 0.40 states/eV per atom


No. 22
Below is a relaxed structure of Er5GaSi6, with properties calculated at the PBE-GGA level.

a b c (Å): 5.529 6.903 8.079
angles (deg): 107.75 100.91 110.96
Fractional positions:
Si  0.130  0.513  0.392
Si  0.262  0.879  0.392
Si  0.423  0.316  0.000
Si  0.577  0.684  0.000
Si  0.738  0.121  0.608
Si  0.870  0.487  0.608
Ga  0.000  0.000  0.000
Er  0.386  0.886  0.771
Er  0.687  0.687  0.373
Er  0.000  0.500  0.000
Er  0.313  0.313  0.627
Er  0.614  0.114  0.229

Output
- Formation energy without anion corrections: -583 meV/atom
- Fermi-level density of states: 0.38 states/eV per atom